[1]
An optimized crystal structure of K2FeCoH, computed with GGA-PBE.

Calculated values
The calculation puts the electronic total energy at -3.263 eV/atom.

a b c (Å): 6.119 6.119 3.105
angles (deg): 90.00 90.00 90.00
Atoms (fractional coordinates):
K: 0.000 0.500 0.000
K: 0.500 0.000 0.000
Fe: 0.000 0.000 0.500
Co: 0.500 0.500 0.500
H: 0.500 0.500 0.000

=====

[2]
An optimized crystal structure of Dy2In2Ag3, computed with GGA-PBE.

Calculated values
The calculation puts the electronic total energy at -3.500 eV/atom.

a b c (Å): 4.542 21.089 3.389
angles (deg): 90.00 90.00 90.00
Atoms (fractional coordinates):
Dy: 0.000 0.143 0.000
Dy: 0.000 0.857 0.000
Dy: 0.500 0.357 0.000
Dy: 0.500 0.643 0.000
In: 0.000 0.291 0.500
In: 0.000 0.709 0.500
In: 0.500 0.209 0.500
In: 0.500 0.791 0.500
Ag: 0.000 0.000 0.000
Ag: 0.000 0.434 0.500
Ag: 0.000 0.566 0.500
Ag: 0.500 0.066 0.500
Ag: 0.500 0.500 0.000
Ag: 0.500 0.934 0.500